Below is a relaxed La3ErBi4 crystal, with properties calculated at the PBE level.

Geometry as extended XYZ:
```
16
Lattice="8.0352 0.0000 0.0000 0.0000 9.2997 0.0000 -2.6872 0.0000 7.5840" Properties=species:S:1:pos:R:3 pbc="T T T"
La -0.6718 1.1561 1.8960
La -2.0154 3.4700 5.6880
La -0.6718 5.8296 1.8960
La -2.0154 8.1436 5.6880
La 3.3458 3.4735 1.8960
La 2.0022 5.8262 5.6880
Er 2.0022 1.1573 5.6880
Er 3.3458 8.1424 1.8960
Bi 0.6884 3.4421 3.8311
Bi 2.0320 5.8576 0.0391
Bi -0.5948 1.1097 7.5817
Bi 0.7488 8.1899 3.7897
Bi 4.5991 1.1097 3.7942
Bi 5.9428 8.1899 0.0023
Bi 3.3159 3.4421 7.5449
Bi 4.6596 5.8576 3.7529
```

Values from the calculation:
space group: No. 13
formation energy: -0.986 eV/atom

---

Below is a relaxed LaErBi3 crystal, with properties calculated at the PBE level.

Geometry as extended XYZ:
```
10
Lattice="6.0565 0.0000 0.0000 0.0000 6.0009 0.0000 -2.3490 0.0000 8.8203" Properties=species:S:1:pos:R:3 pbc="T T T"
La -0.0565 1.5002 2.5681
La 3.7640 4.5006 6.2522
Er 0.6969 1.5002 6.5746
Er 3.0105 4.5006 2.2456
Bi -0.0526 4.5006 1.1313
Bi 0.5042 4.5006 4.3938
Bi 0.7574 4.5006 7.7011
Bi 2.9500 1.5002 1.1192
Bi 3.2033 1.5002 4.4265
Bi 3.7601 1.5002 7.6890
```

Values from the calculation:
space group: No. 11
formation energy: -0.603 eV/atom

---

Below is a relaxed LaErBi crystal, with properties calculated at the PBE level.

Geometry as extended XYZ:
```
6
Lattice="4.1156 0.0000 0.0000 0.0000 4.1156 0.0000 0.0000 0.0000 11.3256" Properties=species:S:1:pos:R:3 pbc="T T T"
La 0.0000 0.0000 0.0000
La 2.0578 2.0578 5.6628
Er 0.0000 0.0000 3.4388
Er 2.0578 2.0578 9.1016
Bi 0.0000 0.0000 7.6051
Bi 2.0578 2.0578 1.9423
```

Values from the calculation:
space group: No. 107
formation energy: -0.486 eV/atom